The following is a DFT calculation (GGA-PBE) of a relaxed CaAc2In crystal.

Cell and atoms, written as extended XYZ:
```
4
Lattice="-3.7519 0.7406 0.1116 -2.0139 -0.7955 3.1542 0.6246 12.1746 5.7897" Properties=species:S:1:pos:R:3 pbc="T T T"
Ac -0.0328 9.0271 4.5761
Ac -5.1085 3.0926 4.4794
Ca -2.5707 6.0598 4.5278
In 0.0000 0.0000 0.0000
```

Output
Energy above the lowest structure with this stoichiometry: 361.9 meV/atom
Fermi-level density of states: 4.77 states/eV per cell
Formation energy from the elements: 0.720 eV/f.u.


The following is a DFT calculation (GGA-PBE) of a relaxed TcAg2Pb2O6 crystal.

Cell and atoms, written as extended XYZ:
```
11
Lattice="-0.2376 5.3682 2.8942 -1.6949 -5.0319 3.0097 5.5584 -0.7425 3.2756" Properties=species:S:1:pos:R:3 pbc="T T T"
Tc 2.7792 -0.3713 1.6378
Ag -0.4440 3.8951 2.9106
Ag -1.4885 -3.5588 2.9934
Pb 1.5708 -1.9317 4.6090
Pb 2.0552 1.5255 4.5706
O 2.3048 -0.2518 6.4097
O 3.0929 3.4197 5.6890
O 1.3212 -0.1544 2.7699
O 2.0514 -4.0133 5.7715
O 0.5330 -3.8258 3.4906
O 1.5746 3.6071 3.4080
```

Output
Final energy: -5.716 eV per atom
Fermi-level density of states: 0.57 states/eV per cell


The following is a DFT calculation (GGA-PBE) of a relaxed SrPrNd2 crystal.

Cell and atoms, written as extended XYZ:
```
4
Lattice="-3.6265 -0.4223 0.9610 0.7623 -3.4357 1.3669 2.0958 4.3771 9.8327" Properties=species:S:1:pos:R:3 pbc="T T T"
Pr -1.4321 -1.9290 1.1640
Sr -0.3842 0.2595 6.0803
Nd 1.6214 3.3863 7.6071
Nd 0.4744 0.9907 2.2256
```

Output
Energy above the lowest structure with this stoichiometry: 0.0 meV/atom
Fermi-level density of states: 6.21 states/eV per cell
Formation energy from the elements: 0.332 eV/f.u.


The following is a DFT calculation (GGA-PBE) of a relaxed CaGdCu4 crystal.

Cell and atoms, written as extended XYZ:
```
6
Lattice="-0.4359 4.5556 2.6722 -4.7881 2.0468 0.9843 -1.9167 0.0008 4.9407" Properties=species:S:1:pos:R:3 pbc="T T T"
Ca -1.7852 1.6508 2.1493
Gd 0.0000 0.0000 0.0000
Cu -3.5050 4.1219 2.9109
Cu -2.0775 3.1047 4.8778
Cu -4.4578 4.1223 5.3672
Cu -4.2411 1.8575 4.0387
```

Output
Fermi-level density of states: 6.96 states/eV per cell
Formation energy from the elements: -0.621 eV/f.u.


The following is a DFT calculation (GGA-PBE) of a relaxed Ba6LiHg5 crystal.

Cell and atoms, written as extended XYZ:
```
12
Lattice="5.7317 0.0414 -1.6826 -1.1848 7.4204 -3.8564 -0.0861 0.5466 10.3274" Properties=species:S:1:pos:R:3 pbc="T T T"
Li 0.0000 0.0000 0.0000
Hg 3.5593 1.3775 1.5563
Hg 1.4595 2.8540 5.0432
Hg -0.5924 3.7102 -1.9282
Hg 3.0013 5.1543 -0.2548
Hg 0.9015 6.6309 3.2321
Ba 4.0182 4.6626 3.1986
Ba 4.5994 1.0225 5.0905
Ba 1.9025 6.0615 6.6307
Ba 2.5583 1.9468 -1.8423
Ba -0.1387 6.9859 -0.3021
Ba 0.4426 3.3457 1.5898
```

Output
Fermi-level density of states: 11.59 states/eV per cell
Formation energy from the elements: -5.260 eV/f.u.


The following is a DFT calculation (GGA-PBE) of a relaxed AsBr2O crystal.

Cell and atoms, written as extended XYZ:
```
8
Lattice="6.8555 0.0000 0.0000 0.0000 6.8555 0.0000 3.4278 3.4278 3.6685" Properties=species:S:1:pos:R:3 pbc="T T T"
As 0.0000 0.0000 0.0000
As 6.8555 3.4278 1.8343
O 3.4278 3.4278 0.0000
O 3.4278 6.8555 1.8343
Br 5.0536 1.7139 0.9171
Br 1.8020 5.1417 0.9171
Br 5.1417 5.2298 2.7514
Br 8.5694 8.4813 2.7514
```

Output
Energy above the lowest structure with this stoichiometry: 188.6 meV/atom
Fermi-level density of states: 11.12 states/eV per cell


The following is a DFT calculation (GGA-PBE) of a relaxed TlSnS4 crystal.

Cell and atoms, written as extended XYZ:
```
6
Lattice="-2.2566 -1.9517 -2.4349 -2.9321 -1.7611 4.1290 -3.5151 5.6695 -1.2866" Properties=species:S:1:pos:R:3 pbc="T T T"
Tl -2.8859 1.8589 -1.8607
Sn 0.0000 0.0000 0.0000
S -4.4802 2.4611 2.1796
S -5.0237 3.4695 -1.1704
S -3.6801 -1.5127 1.5779
S -1.9669 1.4473 0.6628
```

Output
Energy above the lowest structure with this stoichiometry: 52.9 meV/atom
Fermi-level density of states: 2.61 states/eV per cell


The following is a DFT calculation (GGA-PBE) of a relaxed ScHg3Br9 crystal.

Cell and atoms, written as extended XYZ:
```
26
Lattice="-5.6315 6.9928 3.9887 -4.5499 -2.0904 9.3404 5.3248 6.8322 7.6398" Properties=species:S:1:pos:R:3 pbc="T T T"
Sc -2.3121 -0.8680 4.8892
Sc 0.0804 6.7533 5.8413
Hg -3.5664 9.0936 13.8797
Hg -4.6247 7.5557 5.8648
Hg -5.4100 10.7258 18.9579
Hg -1.5614 3.0949 7.4675
Hg -0.4356 8.5357 10.3259
Hg -4.5789 3.0885 10.6138
Br -0.8755 4.3113 5.2284
Br 0.4071 5.5707 13.0845
Br 1.9981 8.2167 11.2088
Br -3.5938 4.5682 12.5228
Br 2.2931 5.7144 6.8178
Br -1.9467 0.3869 7.1740
Br -7.3182 3.9651 10.2106
Br -0.8472 6.5219 8.2740
Br -6.5931 6.1176 14.5568
Br -2.4508 11.5661 14.2696
Br -2.9191 6.9168 15.2374
Br -5.5470 7.3280 8.3341
Br -4.0721 3.8424 8.0621
Br -5.3842 8.3237 17.7559
Br -2.8828 8.3689 11.3215
Br -5.0907 0.5184 10.2386
Br -4.7743 5.4614 4.1957
Br -0.4719 2.9710 9.9129
```

Output
Final energy: -2.486 eV per atom
Fermi-level density of states: 0.00 states/eV per cell